# 1
First-principles (PBE) data for a geometry-optimized Li2Al2Zn3 structure, as listed in Alexandria.

a b c (Å): 4.062 4.662 6.419
angles (deg): 99.45 90.00 115.83
Sites, in units of the cell vectors:
Zn  0.000  0.000  0.000
Zn  0.712  0.423  0.144
Zn  0.288  0.577  0.856
Al  0.144  0.288  0.432
Al  0.856  0.712  0.568
Li  0.426  0.851  0.271
Li  0.574  0.149  0.729

Summary:
* volume: 108 Å³ per cell
* energy relative to the elements: -72 kJ/mol of formula units
* magnetic moment: 0.00 μB per formula unit

=====

# 2
First-principles (PBE) data for a geometry-optimized LiAl5Zn4 structure, as listed in Alexandria.

a b c (Å): 5.045 6.360 6.360
angles (deg): 80.95 66.63 66.63
Sites, in units of the cell vectors:
Zn  0.204  0.114  0.377
Zn  0.319  0.377  0.886
Zn  0.582  0.623  0.114
Zn  0.696  0.886  0.623
Al  0.293  0.718  0.596
Al  0.712  0.000  0.000
Al  0.011  0.596  0.282
Al  0.889  0.404  0.718
Al  0.607  0.282  0.404
Li  0.198  0.000  0.000

Summary:
* volume: 172 Å³ per cell
* energy relative to the elements: 120 kJ/mol of formula units
* magnetic moment: 0.00 μB per formula unit

=====

# 3
First-principles (PBE) data for a geometry-optimized Li5AlZn6 structure, as listed in Alexandria.

a b c (Å): 3.852 7.857 7.411
angles (deg): 121.96 104.97 90.16
Sites, in units of the cell vectors:
Zn  0.167  0.918  0.333
Zn  0.500  0.249  0.000
Zn  0.833  0.585  0.667
Zn  0.833  0.082  0.667
Zn  0.167  0.415  0.333
Zn  0.500  0.751  0.000
Li  0.340  0.340  0.679
Li  0.330  0.830  0.660
Li  0.660  0.660  0.321
Li  0.000  0.500  0.000
Li  0.670  0.170  0.340
Al  0.000  0.000  0.000

Summary:
* volume: 181 Å³ per cell
* energy relative to the elements: -174 kJ/mol of formula units
* magnetic moment: 0.00 μB per formula unit

=====

# 4
First-principles (PBE) data for a geometry-optimized Li2AlZn structure, as listed in Alexandria.

a b c (Å): 3.393 4.160 4.394
angles (deg): 90.00 90.00 90.00
Sites, in units of the cell vectors:
Al  0.000  0.500  0.500
Zn  0.500  0.000  0.500
Li  0.000  0.000  0.000
Li  0.500  0.500  0.000

Summary:
* volume: 62 Å³ per cell
* energy relative to the elements: -54 kJ/mol of formula units
* magnetic moment: 0.00 μB per formula unit

=====

Computed raw total energy, in the same sequence as the records: -2.27; -2.45; -1.90; -2.35 eV/atom.